Entry from Alexandria: a relaxed SnMoO4 crystal (GGA+U).

abc: 4.7879 4.7879 3.2493
angles: 90.00 90.00 90.30
Fractional positions:
Sn 0.0000 0.0000 0.0000
Mo 0.5000 0.5000 0.5000
O 0.1984 0.1984 0.5000
O 0.3055 0.6945 0.0000
O 0.6945 0.3055 0.0000
O 0.8016 0.8016 0.5000

Computed properties:
- Magnetization: 0.3333 μB per atom
- Crystal system: orthorhombic
- DFT total energy: -6.834 eV per atom